Entry 1:
The following is a DFT calculation (PBE) of an optimized crystal structure of TaSb2Ir.

* raw formation energy: 0.49 eV/atom

Lattice parameters (Å, degrees): 6.846 6.846 6.846 90.00 90.00 90.00
Fractional positions:
Ta (0.000, 0.000, 0.000)
Ta (0.000, 0.500, 0.500)
Ta (0.500, 0.000, 0.500)
Ta (0.500, 0.500, 0.000)
Sb (0.000, 0.000, 0.500)
Sb (0.000, 0.500, 0.000)
Sb (0.250, 0.250, 0.750)
Sb (0.250, 0.750, 0.250)
Sb (0.500, 0.000, 0.000)
Sb (0.500, 0.500, 0.500)
Sb (0.750, 0.250, 0.250)
Sb (0.750, 0.750, 0.750)
Ir (0.250, 0.250, 0.250)
Ir (0.250, 0.750, 0.750)
Ir (0.750, 0.250, 0.750)
Ir (0.750, 0.750, 0.250)

=====

Entry 2:
The following is a DFT calculation (PBE) of an optimized crystal structure of TaSb2Ir.

* raw formation energy: 0.27 eV/atom

Lattice parameters (Å, degrees): 3.196 3.196 26.449 90.00 90.00 120.00
Fractional positions:
Ta (0.000, 0.000, 0.000)
Ta (0.333, 0.667, 0.667)
Ta (0.667, 0.333, 0.333)
Sb (0.000, 0.000, 0.245)
Sb (0.000, 0.000, 0.755)
Sb (0.333, 0.667, 0.421)
Sb (0.333, 0.667, 0.912)
Sb (0.667, 0.333, 0.088)
Sb (0.667, 0.333, 0.579)
Ir (0.000, 0.000, 0.500)
Ir (0.333, 0.667, 0.167)
Ir (0.667, 0.333, 0.833)

=====

Entry 3:
The following is a DFT calculation (PBE) of an optimized crystal structure of TaSb2Ir.

* raw formation energy: -0.09 eV/atom

Lattice parameters (Å, degrees): 3.057 3.057 9.348 90.00 90.00 90.00
Fractional positions:
Ta (0.000, 0.000, 0.000)
Sb (0.000, 0.000, 0.392)
Sb (0.500, 0.500, 0.768)
Ir (0.500, 0.500, 0.191)

=====

Entry 4:
The following is a DFT calculation (PBE) of an optimized crystal structure of TaSb2Ir.

* raw formation energy: 0.23 eV/atom

Lattice parameters (Å, degrees): 3.439 3.439 6.424 90.00 90.00 90.00
Fractional positions:
Ta (0.000, 0.000, 0.000)
Sb (0.500, 0.500, 0.251)
Sb (0.500, 0.500, 0.749)
Ir (0.000, 0.000, 0.500)

=====

Number 1: M_tot 0.0 μB/f.u.. Number 2: M_tot 0.0 μB/f.u.. Number 3: M_tot 0.0 μB/f.u.. Number 4: M_tot 0.0 μB/f.u..